Entry 1:
Material: LaCoB4
Method: DFT, PBE
State: relaxed

Cell: 5.0927 5.0927 5.0927 Å, 144.54 116.81 74.60°
Closest atoms and distances in Å follow each position.
Fractional coordinates of all 6 atoms:
1 B 0.5904 0.2543 0.3361  3 B 1.75-1.80
2 B 0.0818 0.7457 0.3361  3 B 1.75-1.80
3 B 0.9182 0.2543 0.6639  3 B 1.75-1.80
4 B 0.4096 0.7457 0.6639  3 B 1.75-1.80
5 Co 0.0000 0.0000 0.0000  12 B 2.67-2.73
6 La 0.5000 0.5000 0.0000  12 B 2.68-2.72

Space-group type = Immm, No. 71
E = -6.29 eV/atom
Energy relative to the lowest polymorph listed for this composition = 335 meV/atom

Entry 2:
Material: LaCo4B4
Method: DFT, PBE
State: relaxed

Cell: 7.1156 7.1156 3.7989 Å, 90.00 90.00 90.00°
Closest atoms and distances in Å follow each position.
Fractional coordinates of all 18 atoms:
1 B 0.0468 0.5885 0.1464  1 B 1.81, 3 Co 2.00-2.02
2 B 0.4532 0.9115 0.1464  1 B 1.81, 3 Co 2.00-2.02
3 B 0.9115 0.0468 0.3536  1 B 1.81, 3 Co 2.00-2.02
4 B 0.5885 0.4532 0.3536  1 B 1.81, 3 Co 2.00-2.02
5 B 0.4115 0.5468 0.6464  1 B 1.81, 3 Co 2.00-2.02
6 B 0.0885 0.9532 0.6464  1 B 1.81, 3 Co 2.00-2.02
7 B 0.5468 0.0885 0.8536  1 B 1.81, 3 Co 2.00-2.02
8 B 0.9532 0.4115 0.8536  1 B 1.81, 3 Co 2.00-2.02
9 Co 0.3917 0.6341 0.1443  4 B 2.00-2.06
10 Co 0.1083 0.8659 0.1443  4 B 2.00-2.06
11 Co 0.6341 0.1083 0.3557  4 B 2.00-2.06
12 Co 0.8659 0.3917 0.3557  4 B 2.00-2.06
13 Co 0.1341 0.6083 0.6443  4 B 2.00-2.06
14 Co 0.3659 0.8917 0.6443  4 B 2.00-2.06
15 Co 0.8917 0.1341 0.8557  4 B 2.00-2.06
16 Co 0.6083 0.3659 0.8557  4 B 2.00-2.06
17 La 0.2500 0.2500 0.2500  8 B 2.84, 8 Co 2.94-3.07
18 La 0.7500 0.7500 0.7500  8 B 2.84, 8 Co 2.94-3.07

Space-group type = P4_2/n, No. 86
E = -7.12 eV/atom

Entry 3:
Material: LaCoB4
Method: DFT, PBE
State: relaxed

Cell: 3.1519 3.1519 7.0039 Å, 90.00 90.00 120.00°
Closest atoms and distances in Å follow each position.
Fractional coordinates of all 6 atoms:
1 B 0.6667 0.3333 0.3149  3 B 1.82
2 B 0.3333 0.6667 0.3149  3 B 1.82
3 B 0.6667 0.3333 0.6851  3 B 1.82
4 B 0.3333 0.6667 0.6851  3 B 1.82
5 Co 0.0000 0.0000 0.5000  12 B 2.23
6 La 0.0000 0.0000 0.0000  12 B 2.86, 6 La 3.15

Space-group type = P6/mmm, No. 191
E = -6.62 eV/atom
Energy relative to the lowest polymorph listed for this composition = 0 meV/atom

Entry 4:
Material: LaNd2Co2B2N3
Method: DFT, PBE
State: relaxed

Cell: 10.3784 10.3784 10.3784 Å, 159.72 159.72 28.83°
Closest atoms and distances in Å follow each position.
Fractional coordinates of all 10 atoms:
1 B 0.1992 0.1992 0.0000  1 N 1.48
2 B 0.8008 0.8008 0.0000  1 N 1.48
3 Co 0.7500 0.2500 0.5000  4 B 2.09
4 Co 0.2500 0.7500 0.5000  4 B 2.09
5 La 0.0000 0.0000 0.0000  6 N 2.52-2.58
6 N 0.1254 0.1254 0.0000  1 B 1.48
7 N 0.5000 0.5000 0.0000  4 La 2.58, 2 Nd 2.62
8 N 0.8746 0.8746 0.0000  1 B 1.48
9 Nd 0.3695 0.3695 0.0000  5 N 2.59-2.62
10 Nd 0.6305 0.6305 0.0000  5 N 2.59-2.62

Space-group type = I4/mmm, No. 139
E = -7.73 eV/atom